The following is a DFT calculation (PBE) of crystalline Sr2NiAu at its relaxed geometry.

The space group is Amm2 (No. 38) and the conventional cell measures 4.523, 4.374 and 11.410 Å, with angles of 90.00, 90.00 and 90.00 degrees. The asymmetric unit holds Sr at (0.000, 0.000, 0.000), Sr at (0.500, 0.000, 0.282), Ni at (0.000, 0.000, 0.699) and Au at (0.500, 0.000, 0.577).

Its total energy is -27.9 eV per cell. For the formation energy, the calculation gives -0.381 eV per atom.